A geometry-optimized NiSbCl2 structure. Source: Alexandria via LeMat-Bulk, functional PBE-GGA.

The space group is R3m (No. 160, hexagonal axes) and the conventional cell measures 3.6396, 3.6396 and 24.1573 Å, with angles of 90.00, 90.00 and 120.00 degrees. The asymmetric unit holds Ni at (0.0000, 0.0000, 0.0000), Sb at (0.0000, 0.0000, 0.2749), Cl at (0.0000, 0.0000, 0.5260) and Cl at (0.0000, 0.0000, 0.7163).

As for the total magnetization: 0.000 μB/atom. As for the total energy: -15.23 eV per formula unit. For the density of states at the Fermi level, the calculation gives 0.8537 states/eV per atom. The value obtained for the formation energy from raw total energies is -0.409 eV per atom. Its energy above the most stable polymorph in this dataset is 0.000 eV per atom.

=====

A geometry-optimized NiSbCl2 structure. Source: Alexandria via LeMat-Bulk, functional PBE-GGA.

The space group is Immm (No. 71) and the conventional cell measures 3.260, 5.096 and 12.108 Å, with angles of 90.00, 90.00 and 90.00 degrees. The asymmetric unit holds Ni at (0.000, 0.000, 0.000), Sb at (0.000, 0.000, 0.500) and Cl at (0.000, 0.500, 0.362).

As for the total magnetization: 0.232 μB/atom. As for the total energy: -14.14 eV per formula unit. For the density of states at the Fermi level, the calculation gives 0.5630 states/eV per atom. The value obtained for the formation energy from raw total energies is -0.135 eV per atom. Its energy above the most stable polymorph in this dataset is 0.274 eV per atom.

=====

A geometry-optimized Ni2SbCl structure. Source: Alexandria via LeMat-Bulk, functional PBE-GGA.

The space group is Pmmm (No. 47) and the conventional cell measures 3.154, 3.896 and 5.635 Å, with angles of 90.00, 90.00 and 90.00 degrees. The asymmetric unit holds Ni at (0.000, 0.000, 0.000), Ni at (0.500, 0.000, 0.500), Sb at (0.000, 0.500, 0.500) and Cl at (0.500, 0.500, 0.000).

As for the total magnetization: 0.033 μB/atom. As for the total energy: -16.25 eV per formula unit. For the density of states at the Fermi level, the calculation gives 0.7596 states/eV per atom. The value obtained for the formation energy from raw total energies is 0.320 eV per atom. Its energy above the most stable polymorph in this dataset is 0.470 eV per atom.

=====

A geometry-optimized NiSbCl structure. Source: Alexandria via LeMat-Bulk, functional PBE-GGA.

The space group is I4mm (No. 107) and the conventional cell measures 3.176, 3.176 and 12.286 Å, with angles of 90.00, 90.00 and 90.00 degrees. The asymmetric unit holds Ni at (0.000, 0.000, 0.000), Sb at (0.000, 0.000, 0.379) and Cl at (0.000, 0.000, 0.622).

As for the total magnetization: 0.000 μB/atom. As for the total energy: -11.92 eV per formula unit. For the density of states at the Fermi level, the calculation gives 0.2520 states/eV per atom. The value obtained for the formation energy from raw total energies is -0.057 eV per atom. Its energy above the most stable polymorph in this dataset is 0.242 eV per atom.

=====

A geometry-optimized NiSbCl structure. Source: Alexandria via LeMat-Bulk, functional PBE-GGA.

The space group is Fmm2 (No. 42) and the conventional cell measures 3.701, 5.494 and 12.748 Å, with angles of 90.00, 90.00 and 90.00 degrees. The asymmetric unit holds Ni at (0.000, 0.000, 0.000), Sb at (0.000, 0.000, 0.631) and Cl at (0.000, 0.000, 0.386).

As for the total magnetization: 0.000 μB/atom. As for the total energy: -12.08 eV per formula unit. For the density of states at the Fermi level, the calculation gives 0.6849 states/eV per atom. The value obtained for the formation energy from raw total energies is -0.108 eV per atom. Its energy above the most stable polymorph in this dataset is 0.190 eV per atom.

=====

A geometry-optimized Ni2SbCl structure. Source: Alexandria via LeMat-Bulk, functional PBE-GGA.

The space group is I-42d (No. 122) and the conventional cell measures 5.827, 5.827 and 9.337 Å, with angles of 90.00, 90.00 and 90.00 degrees. The asymmetric unit holds Ni at (0.223, 0.250, 0.125), Sb at (0.000, 0.000, 0.500) and Cl at (0.000, 0.000, 0.000).

As for the total magnetization: 0.000 μB/atom. As for the total energy: -17.37 eV per formula unit. For the density of states at the Fermi level, the calculation gives 0.5596 states/eV per atom. The value obtained for the formation energy from raw total energies is 0.040 eV per atom. Its energy above the most stable polymorph in this dataset is 0.190 eV per atom.

=====

Which value of energy above the most stable polymorph in this dataset does entry 2 give? 0.274 eV per atom